The following is a DFT calculation (PBE) of crystalline V2CrPd6 at its relaxed geometry.

Structure (extended XYZ):
```
9
Lattice="0.0000 5.7108 5.9000 1.9648 0.0000 5.9000 1.9648 5.7108 0.0000" Properties=species:S:1:pos:R:3 pbc="T T T"
V 1.9648 5.7108 1.9466
V 1.9648 5.7108 9.8534
Cr 1.9648 5.7108 5.9000
Pd 1.9648 1.8159 5.9000
Pd 1.9648 3.9174 3.9245
Pd 1.9648 7.5042 3.9245
Pd 1.9648 3.9174 7.8755
Pd 1.9648 7.5042 7.8755
Pd 1.9648 9.6057 5.9000
```

Computed properties:
Volume = 14.7 Å³ per atom
ΔH_f (0 K) = -201 meV/atom
SG = Fmmm (69)
Total magnetization = 0.57 μB/f.u.